LiTmCuNi | PBE | optimized geometry

a b c (Å): 4.525 4.525 4.525
angles (deg): 60.00 60.00 60.00
Fractional positions:
Li 0.250 0.250 0.250
Tm 0.750 0.750 0.750
Ni 0.500 0.500 0.500
Cu 0.000 0.000 0.000

Computed properties:
D(E_F), states/eV/atom: 0.727
Space-group type: No. 216
ΔH_f (0 K), kJ/mol of atoms: -12.1
Magnetic moment, μB per formula unit: 0.00
Calculated density, g/cm3: 7.56

LiAl3Pb2Au12 | PBE | optimized geometry

a b c (Å): 7.900 7.900 7.900
angles (deg): 66.63 66.63 66.63
Fractional positions:
Pb 0.396 0.396 0.396
Au 0.896 0.366 0.366
Au 0.366 0.896 0.366
Au 0.627 0.142 0.142
Au 0.373 0.858 0.858
Al 0.500 0.000 0.000
Au 0.858 0.858 0.373
Au 0.142 0.627 0.142
Au 0.634 0.104 0.634
Au 0.104 0.634 0.634
Au 0.634 0.634 0.104
Au 0.858 0.373 0.858
Pb 0.604 0.604 0.604
Au 0.366 0.366 0.896
Al 0.000 0.000 0.500
Li 0.000 0.000 0.000
Au 0.142 0.142 0.627
Al 0.000 0.500 0.000

Computed properties:
D(E_F), states/eV/atom: 0.464
Space-group type: No. 166
ΔH_f (0 K), kJ/mol of atoms: -6.3
Magnetic moment, μB per formula unit: 0.00
Calculated density, g/cm3: 11.95

ZrCuTeN2 | PBE | optimized geometry

a b c (Å): 4.082 4.082 6.275
angles (deg): 90.00 90.00 90.00
Each line ends with the local moment (μB).
Fractional positions:
N 0.000 0.500 0.000  0.08
Te 0.000 0.000 0.500  0.01
Cu 0.500 0.500 0.500  0.00
N 0.500 0.000 0.000  0.08
Zr 0.000 0.000 0.000  -0.02

Computed properties:
D(E_F), states/eV/atom: 0.755
Excess energy over the best structure of this formula in the dataset, meV per atom: 0
ΔE_f (raw), eV per atom: 0.551
Space-group type: No. 123
Magnetic moment, μB per formula unit: 0.24
Calculated density, g/cm3: 4.93

Sr2ReP | PBE | optimized geometry

a b c (Å): 6.095 6.095 4.086
angles (deg): 90.00 90.00 133.60
Fractional positions:
Sr 0.894 0.106 0.000
Sr 0.606 0.394 0.500
Re 0.295 0.705 0.500
P 0.199 0.801 0.000

Computed properties:
D(E_F), states/eV/atom: 0.460
Space-group type: No. 38
ΔH_f (0 K), kJ/mol of atoms: -11.4
Magnetic moment, μB per formula unit: 0.00
Calculated density, g/cm3: 5.93